Entry 1:
{
  "formula": "LiAcCdIn",
  "functional": "PBE",
  "state": "optimized geometry",
  "delta_e_f_ev_per_atom": -0.272,
  "crystal_system": "cubic",
  "dos_at_fermi_per_ev_atom": 0.620,
  "total_energy_ev_per_cell": -10.77,
  "lattice_angstrom": [[-0.1615, -5.2993, 0.3001], [4.3081, -2.8602, -1.2073], [2.6705, -2.5249, 3.8330]],
  "species": ["Ac", "Li", "Cd", "In"],
  "frac_coords": [[0.5000, 0.5000, 0.5000], [0.7500, 0.7500, 0.7500], [0.2500, 0.2500, 0.2500], [0.0000, 0.0000, 0.0000]]
}

***

Entry 2:
{
  "formula": "CsAgSe2Br",
  "functional": "PBE",
  "state": "optimized geometry",
  "e_form_raw_ev_per_atom": 0.7462,
  "crystal_system": "tetragonal",
  "dos_at_fermi_per_ev_atom": 1.561,
  "total_energy_ev_per_cell": -8.62,
  "lattice_angstrom": [[-2.6198, 3.2222, -4.0291], [-4.0930, 1.4527, 3.8231], [3.6037, 5.2566, 1.8607]],
  "species": ["Se", "Ag", "Se", "Cs", "Br"],
  "frac_coords": [[0.0000, 0.5000, 0.0000], [0.5000, 0.5000, 0.5000], [0.5000, 0.0000, 0.0000], [0.0000, 0.0000, 0.0000], [0.0000, 0.0000, 0.5000]]
}

***

Entry 3:
{
  "formula": "ReAgRh2",
  "functional": "PBE",
  "state": "optimized geometry",
  "delta_e_f_ev_per_atom": 0.182,
  "crystal_system": "trigonal",
  "dos_at_fermi_per_ev_atom": 0.728,
  "total_energy_ev_per_cell": -29.27,
  "lattice_angstrom": [[9.2562, -1.3813, -0.0070], [9.2562, 1.3813, -0.0070], [9.0519, 0.0000, 2.3768]],
  "species": ["Ag", "Rh", "Re", "Rh"],
  "frac_coords": [[0.4995, 0.4995, 0.4995], [0.9977, 0.9977, 0.9977], [0.2560, 0.2560, 0.2560], [0.7468, 0.7468, 0.7468]]
}

***

Entry 4:
{
  "formula": "LiPr2TcO6",
  "functional": "PBE",
  "state": "optimized geometry",
  "e_form_raw_ev_per_atom": -2.5055,
  "crystal_system": "monoclinic",
  "dos_at_fermi_per_ev_atom": 0.598,
  "total_energy_ev_per_cell": -153.29,
  "lattice_angstrom": [[-4.7493, -2.1433, 1.7994], [2.8400, -2.6005, 4.3981], [-1.2357, 6.2667, 4.5033]],
  "species": ["Pr", "Tc", "O", "Tc", "O", "Pr", "Pr", "Li", "O", "O", "O", "O", "O", "Li", "O", "O", "Pr", "O", "O", "O"],
  "frac_coords": [[0.0165, 0.9317, 0.2520], [0.0000, 0.5000, 0.0000], [0.9042, 0.5295, 0.2433], [0.5000, 0.0000, 0.5000], [0.2944, 0.6876, 0.0480], [0.5165, 0.5683, 0.7520], [0.9835, 0.0683, 0.7480], [0.5000, 0.0000, 0.0000], [0.7056, 0.3124, 0.9520], [0.4042, 0.9705, 0.7433], [0.7944, 0.8124, 0.5480], [0.5958, 0.0295, 0.2567], [0.3187, 0.7143, 0.4480], [0.0000, 0.5000, 0.5000], [0.1813, 0.2143, 0.0520], [0.0958, 0.4705, 0.7567], [0.4835, 0.4317, 0.2480], [0.8187, 0.7857, 0.9480], [0.6813, 0.2857, 0.5520], [0.2056, 0.1876, 0.4520]]
}

***

Entry 5:
{
  "formula": "Li3Mg2Zn2",
  "functional": "PBE",
  "state": "optimized geometry",
  "delta_e_f_ev_per_atom": -0.138,
  "crystal_system": "monoclinic",
  "dos_at_fermi_per_ev_atom": 0.414,
  "total_energy_ev_per_cell": -12.45,
  "lattice_angstrom": [[-2.0325, 4.0564, 0.9479], [0.9598, -3.0000, 3.4004], [6.9406, 0.9852, -0.9619]],
  "species": ["Li", "Mg", "Mg", "Zn", "Li", "Zn", "Li"],
  "frac_coords": [[0.0000, 0.0000, 0.0000], [0.5722, 0.2867, 0.8590], [0.4278, 0.7133, 0.1410], [0.8683, 0.4324, 0.3007], [0.7176, 0.8601, 0.5777], [0.1317, 0.5676, 0.6993], [0.2824, 0.1399, 0.4223]]
}

***

Entry 6:
{
  "formula": "Nd4Th3NpN8",
  "functional": "PBE",
  "state": "optimized geometry",
  "e_form_raw_ev_per_atom": -1.4441,
  "crystal_system": "trigonal",
  "dos_at_fermi_per_ev_atom": 0.542,
  "total_energy_ev_per_cell": -143.98,
  "lattice_angstrom": [[-0.9830, -0.5983, 7.1767], [5.0482, -5.2114, 0.2570], [1.5875, 6.4618, -2.9244]],
  "species": ["Th", "N", "Nd", "N", "N", "Nd", "N", "N", "Nd", "Th", "Th", "Np", "N", "N", "Nd", "N"],
  "frac_coords": [[0.5000, 0.5000, 0.0000], [0.7556, 0.7278, 0.9917], [0.5000, 0.0000, 0.5000], [0.2551, 0.2652, 0.5101], [0.7638, 0.2721, 0.5277], [0.5000, 0.0000, 0.0000], [0.7639, 0.2722, 0.0083], [0.2361, 0.7278, 0.9917], [0.0000, 0.0000, 0.0000], [0.5000, 0.5000, 0.5000], [0.0000, 0.5000, 0.5000], [0.0000, 0.5000, 0.0000], [0.2444, 0.2722, 0.0083], [0.2362, 0.7279, 0.4723], [0.0000, 0.0000, 0.5000], [0.7449, 0.7348, 0.4899]]
}

***

Entry 7:
{
  "formula": "La3HoSb2",
  "functional": "PBE",
  "state": "optimized geometry",
  "e_form_raw_ev_per_atom": -0.6559,
  "crystal_system": "orthorhombic",
  "dos_at_fermi_per_ev_atom": 1.188,
  "total_energy_ev_per_cell": -63.08,
  "lattice_angstrom": [[7.2561, 0.0000, 0.0000], [0.0000, 8.1891, 0.0000], [-3.6280, -4.0946, 7.3748]],
  "species": ["La", "Ho", "La", "Sb", "La", "Sb", "La", "La", "La", "Ho", "Sb", "Sb"],
  "frac_coords": [[0.2072, 0.9572, 0.4144], [0.0000, 0.0000, 0.0000], [0.5000, 0.7500, 0.0000], [0.5369, 0.3564, 0.7128], [0.5000, 0.2500, 0.0000], [0.4631, 0.6436, 0.2872], [0.7928, 0.0428, 0.5856], [0.2072, 0.4572, 0.4144], [0.7928, 0.5428, 0.5856], [0.0000, 0.5000, 0.0000], [0.8240, 0.1436, 0.2872], [0.1760, 0.8564, 0.7128]]
}